Computed, not measured: crystalline LiSmGa4 at its relaxed geometry at the PBE level of DFT.

Cell lengths 5.4984, 5.4984, 5.4984 Å; angles 60.00, 60.00, 60.00 degrees
With the nearest neighbours (Å) after each atom.
Fractional positions:
Ga  0.6250  0.6250  0.6250  6 Ga 2.75
Ga  0.1249  0.6250  0.6250  6 Ga 2.75
Ga  0.6250  0.6250  0.1249  6 Ga 2.75
Ga  0.6250  0.1249  0.6250  6 Ga 2.75
Li  0.2500  0.2500  0.2500  12 Ga 3.22, 4 Sm 3.37
Sm  0.0000  0.0000  0.0000  12 Ga 3.22, 4 Li 3.37

Calculated values
The value obtained for the total energy is -3.491 eV per atom. As for the spin magnetization: 0.00 Bohr magnetons per cell.

***

Computed, not measured: crystalline Er2LuRh at its relaxed geometry at the PBE level of DFT.

Cell lengths 3.6701, 3.6701, 9.6203 Å; angles 79.00, 79.00, 60.00 degrees
With the nearest neighbours (Å) after each atom.
Fractional positions:
Er  0.2720  0.2720  0.1840  3 Rh 2.73
Er  0.7280  0.7280  0.8160  3 Rh 2.73
Lu  0.5000  0.5000  0.5000  6 Er 3.64, 6 Lu 3.67
Rh  0.0000  0.0000  0.0000  6 Er 2.73

Calculated values
The value obtained for the total energy is -5.562 eV per atom. As for the relative energy among the computed polymorphs: 0.109 eV per atom. As for the spin magnetization: 0.65 Bohr magnetons per cell.

***

Computed, not measured: crystalline SbWCl2 at its relaxed geometry at the PBE level of DFT.

Cell lengths 3.0247, 3.0247, 10.2648 Å; angles 90.00, 90.00, 90.00 degrees
With the nearest neighbours (Å) after each atom.
Fractional positions:
Cl  0.0000  0.0000  0.8952  4 W 2.61
Cl  0.0000  0.0000  0.6048  4 W 2.61
W  0.5000  0.5000  0.7500  8 Cl 2.61
Sb  0.5000  0.5000  0.2500  4 Sb 3.02

Calculated values
The value obtained for the total energy is -4.765 eV per atom. As for the formation energy without anion corrections: 1.71 eV/f.u. As for the relative energy among the computed polymorphs: 0.558 eV per atom. As for the spin magnetization: 0.30 Bohr magnetons per cell.

***

Computed, not measured: crystalline Li2VRh at its relaxed geometry at the PBE level of DFT.

Cell lengths 2.6211, 2.6211, 9.7998 Å; angles 82.31, 82.31, 60.00 degrees
With the nearest neighbours (Å) after each atom.
Fractional positions:
Rh  0.5000  0.5000  0.5000  6 Rh 2.62, 6 Li 2.65
V  0.0000  0.0000  0.0000  6 V 2.62, 2 Li 2.67
Li  0.9082  0.9082  0.2753  6 Li 2.62, 3 Rh 2.65, 1 V 2.67
Li  0.0918  0.0918  0.7247  6 Li 2.62, 3 Rh 2.65, 1 V 2.67

Calculated values
The value obtained for the total energy is -4.897 eV per atom. As for the relative energy among the computed polymorphs: 0.000 eV per atom. As for the spin magnetization: 0.52 Bohr magnetons per cell.